# 1
3
Lattice="-1.6781 0.8533 2.9473 -3.2844 -2.5170 -1.1413 3.2380 -1.6128 2.3106" Properties=species:S:1:pos:R:3 comment="GGA-PBE HoCuIr, optimized geometry" delta_e_f_ev_per_atom=-0.460 energy_ev_per_cell=-18.92 de_polymorph_ev_per_fu=0.41 pbc="T T T"
Ir 0.7842 -1.7720 1.6512
Cu -0.2797 0.1422 0.4913
Ho -2.2290 -1.6467 1.9742

---

# 2
16
Lattice="3.6476 0.0000 0.0000 -1.8238 6.0772 0.0000 0.0000 0.0000 12.0964" Properties=species:S:1:pos:R:3 comment="GGA-PBE AcNd2RhN4, optimized geometry" energy_ev_per_cell=-121.31 e_form_raw_kj_per_mol_atoms=-76.7 pbc="T T T"
N 0.0000 3.3005 4.4921
N 0.0000 5.1441 9.0723
N 0.0000 0.0000 6.0482
N 1.8238 0.9331 3.0241
N 1.8238 2.7767 10.5403
N 0.0000 0.0000 0.0000
N 1.8238 2.7767 7.6042
N 0.0000 3.3005 1.5561
Ac 1.8238 4.6946 3.0241
Ac 0.0000 1.3826 9.0723
Nd 1.8238 1.5953 5.4950
Nd 0.0000 4.4819 11.5432
Nd 0.0000 4.4819 6.6013
Nd 1.8238 1.5953 0.5532
Rh 0.0000 1.8522 3.0241
Rh 1.8238 4.2250 9.0723

---

# 3
3
Lattice="4.0672 0.0000 0.0000 -2.0336 3.5223 0.0000 0.0000 0.0000 6.3001" Properties=species:S:1:pos:R:3 comment="GGA-PBE LiInI, optimized geometry" energy_ev_per_cell=-7.54 de_polymorph_ev_per_fu=0.55 e_form_raw_kj_per_mol_atoms=-42.9 pbc="T T T"
Li 2.0336 1.1741 2.3514
I 0.0000 2.3482 3.7189
In 0.0000 0.0000 0.2298

---

# 4
12
Lattice="6.1831 0.0004 0.0031 -3.0897 5.3558 0.0031 -1.0326 -1.7880 11.5104" Properties=species:S:1:pos:R:3 comment="GGA-PBE Sm6Y3Tm2Sc, optimized geometry" delta_e_f_ev_per_atom=0.026 energy_ev_per_cell=-62.66 pbc="T T T"
Sm -0.0075 -0.0130 8.6882
Sm 0.0154 3.5700 8.6922
Sm 3.0845 1.7975 8.6922
Sm 2.0454 -0.0018 2.8244
Sm -1.0237 1.7707 2.8244
Sm 2.0683 3.5812 2.8283
Sc 0.0000 0.0000 0.0000
Y 1.0304 1.7841 5.7583
Y 4.1217 -0.0012 5.7583
Y -2.0609 3.5695 5.7583
Tm 3.0922 1.7856 0.0031
Tm 0.0013 3.5707 0.0031